Entry from Alexandria: an optimized crystal structure of NaSe2I (PBE-GGA).

Lattice parameters (Å, degrees): 6.022 6.022 6.022 52.34 52.34 52.34
Fractional coordinates of all 4 atoms:
Se 0.180 0.180 0.180
Se 0.820 0.820 0.820
I 0.500 0.500 0.500
Na 0.000 0.000 0.000

- Space-group type: R-3m, No. 166
- Formation energy from raw total energies: -0.07 eV per atom
- Spin magnetization: 0.00 μB/f.u.
- Distance to the lowest polymorph of the same formula: 0.00 eV per formula unit